A.
Computed, not measured: crystalline BeGaCoTc at its relaxed geometry at the PBE-GGA level of DFT.

Unit cell a=5.7683 b=5.7683 c=5.7683 alpha=90.00 beta=90.00 gamma=90.00
Closest atoms and distances in Å follow each position.
Space group F-43m (No. 216)
Unique sites:
Be (0.0000, 0.0000, 0.0000) (multiplicity 4)  4 Tc 2.50, 4 Ga 2.50
Ga (0.2500, 0.2500, 0.2500) (multiplicity 4)  4 Co 2.50, 4 Be 2.50
Co (0.0000, 0.0000, 0.5000) (multiplicity 4)  4 Tc 2.50, 4 Ga 2.50
Tc (0.2500, 0.2500, 0.7500) (multiplicity 4)  4 Co 2.50, 4 Be 2.50

Its magnetization is 2.30 μB per formula unit.

---

B.
Computed, not measured: crystalline BeGaCoTc at its relaxed geometry at the PBE-GGA level of DFT.

Unit cell a=5.7562 b=5.7562 c=5.7562 alpha=90.00 beta=90.00 gamma=90.00
Closest atoms and distances in Å follow each position.
Space group F-43m (No. 216)
Unique sites:
Be (0.0000, 0.0000, 0.0000) (multiplicity 4)  4 Tc 2.49, 4 Co 2.49
Ga (0.0000, 0.0000, 0.5000) (multiplicity 4)  4 Co 2.49, 4 Tc 2.49
Co (0.2500, 0.2500, 0.7500) (multiplicity 4)  4 Be 2.49, 4 Ga 2.49
Tc (0.2500, 0.2500, 0.2500) (multiplicity 4)  4 Ga 2.49, 4 Be 2.49

Its magnetization is 1.42 μB per formula unit.

---

Which one is most stable, and which one is least stable? B is the most stable of them, while A is the least stable.